Record 1
# Nd2Sm3Sc4, relaxed, DFT PBE
data_Nd2Sm3Sc4
_chemical_formula_sum 'Nd8 Sm12 Sc16'
_cell_length_a 16.261
_cell_length_b 11.351
_cell_length_c 5.858
_cell_angle_alpha 90.00
_cell_angle_beta 97.78
_cell_angle_gamma 90.00
_symmetry_space_group_name_H-M 'C 1 2/c 1'
_symmetry_Int_Tables_number 15
loop_
_symmetry_equiv_pos_as_xyz
'x,y,z'
'-x,-y,-z'
'-x,y,-z+1/2'
'x,-y,z+1/2'
'x+1/2,y+1/2,z'
'-x+1/2,-y+1/2,-z'
'-x+1/2,y+1/2,-z+1/2'
'x+1/2,-y+1/2,z+1/2'
loop_
_atom_site_label
_atom_site_fract_x
_atom_site_fract_y
_atom_site_fract_z
Nd1 0.125 0.126 0.297
Sm1 0.000 0.132 0.750
Sm2 0.159 0.385 0.613
Sc1 0.050 0.379 0.041
Sc2 0.235 0.136 0.845
# * E_form: 111 meV per atom
# * DOS(E_F): 14.0 states/eV/f.u.
# * energy: -5.3357 eV/atom

=====

Record 2
# Nd8Sm2Sc3, relaxed, DFT PBE
data_Nd8Sm2Sc3
_chemical_formula_sum 'Nd16 Sm4 Sc6'
_cell_length_a 13.412
_cell_length_b 11.513
_cell_length_c 6.011
_cell_angle_alpha 90.00
_cell_angle_beta 112.88
_cell_angle_gamma 90.00
_symmetry_space_group_name_H-M 'C 1 2/m 1'
_symmetry_Int_Tables_number 12
loop_
_symmetry_equiv_pos_as_xyz
'x,y,z'
'-x,-y,-z'
'-x,y,-z'
'x,-y,z'
'x+1/2,y+1/2,z'
'-x+1/2,-y+1/2,-z'
'-x+1/2,y+1/2,-z'
'x+1/2,-y+1/2,z'
loop_
_atom_site_label
_atom_site_fract_x
_atom_site_fract_y
_atom_site_fract_z
Nd1 0.084 0.000 0.265
Nd2 0.136 0.500 0.614
Nd3 0.154 0.265 0.147
Sm1 0.184 0.000 0.831
Sc1 0.000 0.235 0.500
Sc2 0.000 0.500 0.000
# * E above lowest polymorph: 0 meV/atom
# * E_form: 177 meV per atom
# * DOS(E_F): 19.6 states/eV/f.u.
# * energy: -4.9441 eV/atom

=====

Record 3
# Nd3Sm3Sc2, relaxed, DFT PBE
data_Nd3Sm3Sc2
_chemical_formula_sum 'Nd6 Sm6 Sc4'
_cell_length_a 17.071
_cell_length_b 5.566
_cell_length_c 5.747
_cell_angle_alpha 90.00
_cell_angle_beta 109.40
_cell_angle_gamma 90.00
_symmetry_space_group_name_H-M 'C 1 2/m 1'
_symmetry_Int_Tables_number 12
loop_
_symmetry_equiv_pos_as_xyz
'x,y,z'
'-x,-y,-z'
'-x,y,-z'
'x,-y,z'
'x+1/2,y+1/2,z'
'-x+1/2,-y+1/2,-z'
'-x+1/2,y+1/2,-z'
'x+1/2,-y+1/2,z'
loop_
_atom_site_label
_atom_site_fract_x
_atom_site_fract_y
_atom_site_fract_z
Nd1 0.000 0.000 0.000
Nd2 0.140 0.000 0.685
Sm1 0.000 0.500 0.500
Sm2 0.140 0.500 0.097
Sc1 0.250 0.000 0.313
# * E above lowest polymorph: 39 meV/atom
# * E_form: 78 meV per atom
# * DOS(E_F): 13.1 states/eV/f.u.
# * energy: -5.0629 eV/atom

=====

Record 4
# Nd2SmSc8, relaxed, DFT PBE
data_Nd2SmSc8
_chemical_formula_sum 'Nd4 Sm2 Sc16'
_cell_length_a 8.723
_cell_length_b 15.432
_cell_length_c 5.543
_cell_angle_alpha 90.00
_cell_angle_beta 125.14
_cell_angle_gamma 90.00
_symmetry_space_group_name_H-M 'C 1 2/m 1'
_symmetry_Int_Tables_number 12
loop_
_symmetry_equiv_pos_as_xyz
'x,y,z'
'-x,-y,-z'
'-x,y,-z'
'x,-y,z'
'x+1/2,y+1/2,z'
'-x+1/2,-y+1/2,-z'
'-x+1/2,y+1/2,-z'
'x+1/2,-y+1/2,z'
loop_
_atom_site_label
_atom_site_fract_x
_atom_site_fract_y
_atom_site_fract_z
Nd1 0.000 0.193 0.000
Sm1 0.000 0.500 0.500
Sc1 0.000 0.293 0.500
Sc2 0.050 0.000 0.287
Sc3 0.214 0.381 0.188
# * E_form: 157 meV per atom
# * DOS(E_F): 16.3 states/eV/f.u.
# * energy: -5.7434 eV/atom

=====

Record 5
# NdSm8Sc2, relaxed, DFT PBE
data_NdSm8Sc2
_chemical_formula_sum 'Nd2 Sm16 Sc4'
_cell_length_a 8.986
_cell_length_b 16.109
_cell_length_c 5.882
_cell_angle_alpha 90.00
_cell_angle_beta 122.60
_cell_angle_gamma 90.00
_symmetry_space_group_name_H-M 'C 1 2/m 1'
_symmetry_Int_Tables_number 12
loop_
_symmetry_equiv_pos_as_xyz
'x,y,z'
'-x,-y,-z'
'-x,y,-z'
'x,-y,z'
'x+1/2,y+1/2,z'
'-x+1/2,-y+1/2,-z'
'-x+1/2,y+1/2,-z'
'x+1/2,-y+1/2,z'
loop_
_atom_site_label
_atom_site_fract_x
_atom_site_fract_y
_atom_site_fract_z
Nd1 0.000 0.000 0.000
Sm1 0.000 0.208 0.000
Sm2 0.076 0.500 0.793
Sm3 0.218 0.120 0.674
Sc1 0.000 0.310 0.500
# * E above lowest polymorph: 36 meV/atom
# * E_form: 160 meV per atom
# * DOS(E_F): 15.4 states/eV/f.u.
# * energy: -4.8571 eV/atom

=====

Record 6
# Nd2Sm6Sc, relaxed, DFT PBE
data_Nd2Sm6Sc
_chemical_formula_sum 'Nd4 Sm12 Sc2'
_cell_length_a 7.785
_cell_length_b 14.860
_cell_length_c 5.335
_cell_angle_alpha 90.00
_cell_angle_beta 90.00
_cell_angle_gamma 90.00
_symmetry_space_group_name_H-M 'C m m m'
_symmetry_Int_Tables_number 65
_symmetry_space_group_name_Hall '-C 2 2'
loop_
_atom_site_label
_atom_site_fract_x
_atom_site_fract_y
_atom_site_fract_z
Nd1 0.000 0.227 0.000
Sm1 0.216 0.358 0.500
Sm2 0.239 0.500 0.000
Sc1 0.000 0.000 0.500
# * E above lowest polymorph: 158 meV/atom
# * E_form: 232 meV per atom
# * DOS(E_F): 13.5 states/eV/f.u.
# * energy: -4.6769 eV/atom